Record 1
Compound: Tb2ErTl2Hg2
Source: Alexandria
Functional: PBE
Structure: relaxed

Computed properties:
formation energy: -163 meV per atom
total magnetization: 0.00 μB per formula unit

a = 4.993 Å, b = 4.993 Å, c = 9.284 Å
α = 74.40°, β = 74.40°, γ = 60.00°
Element x y z (fractional)
Tb  0.132  0.132  0.603
Tb  0.868  0.868  0.397
Er  0.000  0.000  0.000
Tl  0.725  0.725  0.825
Tl  0.275  0.275  0.175
Hg  0.566  0.566  0.302
Hg  0.434  0.434  0.698


Record 2
Compound: Ta2TlAg
Source: Alexandria
Functional: PBE
Structure: relaxed

Computed properties:
formation energy: 282 meV per atom
total magnetization: 0.00 μB per formula unit

a = 2.950 Å, b = 2.950 Å, c = 9.489 Å
α = 90.00°, β = 90.00°, γ = 105.58°
Element x y z (fractional)
Tl  0.000  0.000  0.499
Ag  0.500  0.500  0.765
Ta  0.000  0.000  0.004
Ta  0.500  0.500  0.231


Record 3
Compound: Nb6P2N
Source: Alexandria
Functional: PBE
Structure: relaxed

Computed properties:
E above lowest polymorph: 0 meV/atom
ΔE_f (raw): -0.8020 eV per atom
total magnetization: 0.00 μB per formula unit

a = 3.354 Å, b = 5.534 Å, c = 7.787 Å
α = 91.16°, β = 90.00°, γ = 107.64°
Element x y z (fractional)
Nb  0.870  0.740  0.450
Nb  0.130  0.260  0.550
Nb  0.853  0.705  0.065
Nb  0.147  0.295  0.935
Nb  0.548  0.096  0.225
Nb  0.452  0.904  0.775
P  0.238  0.476  0.254
P  0.762  0.524  0.746
N  0.500  0.000  0.500


Record 4
Compound: CsHfIn3
Source: Alexandria
Functional: PBE
Structure: relaxed

Computed properties:
formation energy: 1754 meV per atom
total magnetization: 1.80 μB per formula unit

a = 6.003 Å, b = 6.003 Å, c = 6.003 Å
α = 90.00°, β = 90.00°, γ = 90.00°
Site moments in Bohr magnetons follow the coordinates.
Element x y z (fractional)
Cs  0.000  0.000  0.000  0.02
Hf  0.500  0.500  0.500  0.89
In  0.000  0.500  0.000  0.02
In  0.000  0.000  0.500  0.03
In  0.500  0.000  0.000  0.03


Record 5
Compound: Al2TcNi
Source: Alexandria
Functional: PBE
Structure: relaxed

Computed properties:
formation energy: -544 meV per atom
total magnetization: 0.00 μB per formula unit

a = 4.084 Å, b = 4.084 Å, c = 3.169 Å
α = 90.00°, β = 90.00°, γ = 90.00°
Element x y z (fractional)
Ni  0.500  0.000  0.500
Tc  0.000  0.500  0.500
Al  0.000  0.000  0.000
Al  0.500  0.500  0.000


Record 6
Compound: TaTl
Source: Alexandria
Functional: PBE
Structure: relaxed

Computed properties:
E above lowest polymorph: 222 meV/atom
formation energy: 682 meV per atom
total magnetization: 0.00 μB per formula unit

a = 5.482 Å, b = 5.482 Å, c = 5.482 Å
α = 134.61°, β = 134.61°, γ = 66.14°
Element x y z (fractional)
Ta  0.000  0.000  0.000
Ta  0.250  0.750  0.500
Tl  0.500  0.500  0.000
Tl  0.750  0.250  0.500